(1)
Compound: K3NbW
Source: the Alexandria database
Functional: PBE
Structure: relaxed

It has space group Pm-3m (No. 221), with a = 6.034 Å, b = 6.034 Å, c = 6.034 Å, α = 90.00°, β = 90.00° and γ = 90.00°. The asymmetric unit holds K at (0.000, 0.000, 0.500), Nb at (0.500, 0.500, 0.500) and W at (0.000, 0.000, 0.000).

As for the total energy: -11.257 eV per formula unit. The energy of formation comes out at 3012 meV per atom. The polymorph energy (0 for the lowest one) is 0 meV per atom.

***

(2)
Compound: DyY6Tm4
Source: the Alexandria database
Functional: PBE
Structure: relaxed

It has space group I-42m (No. 121), with a = 6.511 Å, b = 6.511 Å, c = 17.117 Å, α = 90.00°, β = 90.00° and γ = 90.00°. The asymmetric unit holds Dy at (0.000, 0.000, 0.000), Y at (0.000, 0.500, 0.000), Y at (0.187, 0.187, 0.826) and Tm at (0.180, 0.180, 0.631).

As for the total energy: -57.934 eV per formula unit. The energy of formation comes out at 304 meV per atom. The polymorph energy (0 for the lowest one) is 143 meV per atom.

***

(3)
Compound: AcTh2PdN4
Source: the Alexandria database
Functional: PBE
Structure: relaxed

It has space group Cmcm (No. 63), with a = 3.628 Å, b = 12.266 Å, c = 12.288 Å, α = 90.00°, β = 90.00° and γ = 90.00°. The asymmetric unit holds Ac at (0.000, 0.111, 0.250), Th at (0.000, 0.370, 0.057), Pd at (0.000, 0.152, 0.750), N at (0.000, 0.000, 0.000), N at (0.000, 0.269, 0.608) and N at (0.000, 0.454, 0.250).

As for the total energy: -66.407 eV per formula unit. Its formation energy (no corrections) is -865 kJ/mol of formula units.

***

(4)
Compound: La4AgOs
Source: the Alexandria database
Functional: PBE
Structure: relaxed

It has space group C2/c (No. 15), with a = 9.376 Å, b = 15.176 Å, c = 7.072 Å, α = 90.00°, β = 126.09° and γ = 90.00°. The asymmetric unit holds La at (0.155, 0.212, 0.151), La at (0.232, 0.041, 0.732), Ag at (0.000, 0.379, 0.750) and Os at (0.000, 0.086, 0.250).

As for the total energy: -34.549 eV per formula unit. The energy of formation comes out at -126 meV per atom. The polymorph energy (0 for the lowest one) is 75 meV per atom.

***

(5)
Compound: HoFe2C2
Source: the Alexandria database
Functional: PBE
Structure: relaxed

It has space group Fddd (No. 70, origin choice 2), with a = 5.933 Å, b = 8.383 Å, c = 8.988 Å, α = 90.00°, β = 90.00° and γ = 90.00°. The asymmetric unit holds Ho at (0.125, 0.125, 0.125), Fe at (0.125, 0.125, 0.491) and C at (0.125, 0.313, 0.625).

As for the total energy: -41.313 eV per formula unit. The energy of formation comes out at -273 meV per atom.

***

(6)
Compound: Fe2PbCl
Source: the Alexandria database
Functional: PBE
Structure: relaxed

It has space group Fm-3m (No. 225), with a = 6.568 Å, b = 6.568 Å, c = 6.568 Å, α = 90.00°, β = 90.00° and γ = 90.00°. The asymmetric unit holds Fe at (0.250, 0.250, 0.250), Pb at (0.000, 0.000, 0.000) and Cl at (0.000, 0.000, 0.500).

As for the total energy: -19.569 eV per formula unit. The polymorph energy (0 for the lowest one) is 664 meV per atom. Its formation energy (no corrections) is 281 kJ/mol of formula units.

***

(7)
Compound: CoSiWCl2
Source: the Alexandria database
Functional: PBE
Structure: relaxed

It has space group P4/mmm (No. 123), with a = 4.280 Å, b = 4.280 Å, c = 5.008 Å, α = 90.00°, β = 90.00° and γ = 90.00°. The asymmetric unit holds Co at (0.000, 0.000, 0.000), Si at (0.500, 0.500, 0.500), W at (0.000, 0.000, 0.500) and Cl at (0.000, 0.500, 0.000).

As for the total energy: -23.806 eV per formula unit. The polymorph energy (0 for the lowest one) is 0 meV per atom. Its formation energy (no corrections) is 518 kJ/mol of formula units.

***

(8)
Compound: K2PmCrSe4
Source: the Alexandria database
Functional: PBE
Structure: relaxed

It has space group P2/m (No. 10), with a = 7.055 Å, b = 4.109 Å, c = 8.020 Å, α = 90.00°, β = 107.42° and γ = 90.00°. The asymmetric unit holds K at (0.000, 0.000, 0.000), K at (0.500, 0.500, 0.000), Pm at (0.000, 0.500, 0.500), Cr at (0.500, 0.000, 0.500), Se at (0.263, 0.000, 0.703) and Se at (0.300, 0.500, 0.313).

As for the total energy: -40.230 eV per formula unit. Its formation energy (no corrections) is -938 kJ/mol of formula units.

***

(9)
Compound: Nb3V
Source: the Alexandria database
Functional: PBE
Structure: relaxed

It has space group Imm2 (No. 44), with a = 2.650 Å, b = 9.723 Å, c = 5.471 Å, α = 90.00°, β = 90.00° and γ = 90.00°. The asymmetric unit holds Nb at (0.000, 0.000, 0.000), Nb at (0.000, 0.250, 0.267) and V at (0.000, 0.500, 0.001).

As for the total energy: -38.385 eV per formula unit. The energy of formation comes out at 236 meV per atom. The polymorph energy (0 for the lowest one) is 206 meV per atom.

***

(10)
Compound: Pm2CrSnN5
Source: the Alexandria database
Functional: PBE
Structure: relaxed

It has space group Cmc2_1 (No. 36), with a = 3.316 Å, b = 15.079 Å, c = 9.982 Å, α = 90.00°, β = 90.00° and γ = 90.00°. The asymmetric unit holds Pm at (0.000, 0.116, 0.000), Pm at (0.000, 0.123, 0.645), Cr at (0.000, 0.455, 0.757), Sn at (0.000, 0.211, 0.353), N at (0.000, 0.017, 0.327), N at (0.000, 0.295, 0.997), N at (0.000, 0.339, 0.710), N at (0.000, 0.349, 0.327) and N at (0.000, 0.497, 0.099).

As for the total energy: -70.524 eV per formula unit. Its formation energy (no corrections) is -557 kJ/mol of formula units.